No. 1
! LiReP2 | Alexandria | GGA-PBE | relaxed; values from VASP
! Energy above the most stable polymorph in this dataset: 223 meV per atom
! Energy of formation: -0.0970 eV/atom
&SYSTEM
  ibrav = 0, nat = 4, ntyp = 3
/
ATOMIC_SPECIES
Li 6.94 Li.upf
P 30.97 P.upf
Re 186.21 Re.upf
CELL_PARAMETERS angstrom
4.476 0.000 0.000
0.000 3.084 0.013
0.000 1.634 4.236
ATOMIC_POSITIONS crystal
Li 0.500 0.674 0.729
P 0.000 0.072 0.023
P 0.500 0.418 0.279
Re 0.000 0.336 0.470



No. 2
! Dy8GeTe4Se3 | Alexandria | GGA-PBE | relaxed; values from VASP
! Formation energy (no corrections): -1.478 eV per atom
&SYSTEM
  ibrav = 0, nat = 16, ntyp = 4
/
ATOMIC_SPECIES
Dy 162.50 Dy.upf
Ge 72.64 Ge.upf
Te 127.60 Te.upf
Se 78.96 Se.upf
CELL_PARAMETERS angstrom
-0.185 4.685 6.947
-6.539 -4.652 2.963
7.088 -3.856 -2.267
ATOMIC_POSITIONS crystal
Dy 0.236 0.717 0.981
Dy 0.236 0.717 0.472
Dy 0.261 0.284 0.523
Dy 0.745 0.717 0.981
Dy 0.255 0.283 0.019
Dy 0.739 0.716 0.477
Dy 0.764 0.283 0.528
Dy 0.764 0.283 0.019
Ge 0.000 0.500 0.000
Te 0.500 0.000 0.000
Te 0.500 0.000 0.500
Te 0.000 0.000 0.000
Te 0.000 0.000 0.500
Se 0.500 0.500 0.000
Se 0.500 0.500 0.500
Se 0.000 0.500 0.500



No. 3
! CdBiH | Alexandria | GGA-PBE | relaxed; values from VASP
! Energy above the most stable polymorph in this dataset: 186 meV per atom
&SYSTEM
  ibrav = 0, nat = 12, ntyp = 3
/
ATOMIC_SPECIES
H 1.01 H.upf
Bi 208.98 Bi.upf
Cd 112.41 Cd.upf
CELL_PARAMETERS angstrom
-7.395 -2.073 0.100
2.127 -7.627 -0.840
0.198 -0.474 4.798
ATOMIC_POSITIONS crystal
H 0.601 0.250 0.943
H 0.899 0.750 0.443
H 0.399 0.750 0.057
H 0.101 0.250 0.557
Bi 0.379 0.250 0.106
Bi 0.121 0.750 0.606
Bi 0.621 0.750 0.894
Bi 0.879 0.250 0.394
Cd 0.000 0.000 0.000
Cd 0.500 0.500 0.500
Cd 0.500 0.000 0.500
Cd 0.000 0.500 0.000



No. 4
! ScIn2Cu | Alexandria | GGA-PBE | relaxed; values from VASP
! Energy of formation: -0.1116 eV/atom
&SYSTEM
  ibrav = 0, nat = 4, ntyp = 3
/
ATOMIC_SPECIES
Sc 44.96 Sc.upf
Cu 63.55 Cu.upf
In 114.82 In.upf
CELL_PARAMETERS angstrom
-0.720 2.978 3.756
-0.975 4.684 -0.773
-4.436 1.733 0.903
ATOMIC_POSITIONS crystal
Sc 0.000 0.000 0.000
Cu 0.500 0.500 0.500
In 0.250 0.250 0.250
In 0.750 0.750 0.750



No. 5
! Th4TlTcSe2 | Alexandria | GGA-PBE | relaxed; values from VASP
! Formation energy (no corrections): -0.741 eV per atom
&SYSTEM
  ibrav = 0, nat = 8, ntyp = 4
/
ATOMIC_SPECIES
Th 232.04 Th.upf
Tl 204.38 Tl.upf
Tc 98.00 Tc.upf
Se 78.96 Se.upf
CELL_PARAMETERS angstrom
4.207 0.000 0.000
0.000 7.595 0.209
0.000 -2.579 7.154
ATOMIC_POSITIONS crystal
Th 0.500 0.284 0.240
Th 0.500 0.716 0.760
Th 0.000 0.278 0.773
Th 0.000 0.722 0.227
Tl 0.000 0.000 0.000
Tc 0.500 0.500 0.000
Se 0.500 0.000 0.500
Se 0.000 0.500 0.500



No. 6
! NdCd2Pb2 | Alexandria | GGA-PBE | relaxed; values from VASP
! Energy of formation: -0.2952 eV/atom
&SYSTEM
  ibrav = 0, nat = 10, ntyp = 3
/
ATOMIC_SPECIES
Nd 144.24 Nd.upf
Cd 112.41 Cd.upf
Pb 207.20 Pb.upf
CELL_PARAMETERS angstrom
-1.446 -4.211 -1.251
-0.828 -1.048 4.483
-10.850 6.414 -0.505
ATOMIC_POSITIONS crystal
Nd 0.356 0.250 0.712
Nd 0.644 0.750 0.288
Cd 0.043 0.750 0.085
Cd 0.461 0.750 0.921
Cd 0.957 0.250 0.915
Cd 0.539 0.250 0.079
Pb 0.749 0.250 0.499
Pb 0.251 0.750 0.501
Pb 0.868 0.750 0.736
Pb 0.132 0.250 0.264



| no. | energy (eV/atom) |
| --- | --- |
| 1 | -6.392 |
| 2 | -5.506 |
| 3 | -2.468 |
| 4 | -4.088 |
| 5 | -6.913 |
| 6 | -3.098 |